Record 1
The following is a PBE-GGA calculation of crystalline Cr5Ni at its relaxed geometry, from Alexandria.

## Properties
- energy above the most stable polymorph in this dataset (kJ per mole of atoms) = 42.9

Lattice parameters (Å, degrees): 4.708 4.708 3.959 90.00 90.00 120.00
Sites, in units of the cell vectors:
Cr 0.000 0.500 0.000
Cr 0.333 0.667 0.500
Cr 0.500 0.000 0.000
Cr 0.500 0.500 0.000
Cr 0.667 0.333 0.500
Ni 0.000 0.000 0.500

Record 2
The following is a PBE-GGA calculation of crystalline Cr5Ni at its relaxed geometry, from Alexandria.

## Properties
- energy above the most stable polymorph in this dataset (kJ per mole of atoms) = 17.0

Lattice parameters (Å, degrees): 4.652 4.652 4.652 60.00 60.00 60.00
Sites, in units of the cell vectors:
Cr 0.000 0.000 0.000
Cr 0.375 0.375 0.375
Cr 0.375 0.375 0.876
Cr 0.375 0.876 0.375
Cr 0.876 0.375 0.375
Ni 0.750 0.750 0.750

Record 3
The following is a PBE-GGA calculation of crystalline Cr4Ni5 at its relaxed geometry, from Alexandria.

## Properties
- energy above the most stable polymorph in this dataset (kJ per mole of atoms) = 0.0

Lattice parameters (Å, degrees): 5.766 5.766 5.766 94.64 94.64 146.96
Sites, in units of the cell vectors:
Cr 0.000 0.335 0.335
Cr 0.000 0.665 0.665
Cr 0.335 0.000 0.335
Cr 0.665 0.000 0.665
Ni 0.000 0.000 0.000
Ni 0.333 0.333 0.667
Ni 0.333 0.667 0.000
Ni 0.667 0.333 0.000
Ni 0.667 0.667 0.333

Record 4
The following is a PBE-GGA calculation of crystalline Cr3Ni at its relaxed geometry, from Alexandria.

Lattice parameters (Å, degrees): 4.913 4.913 4.913 152.00 63.79 123.97
Sites, in units of the cell vectors:
Cr 0.000 0.000 0.000
Cr 0.056 0.303 0.753
Cr 0.550 0.303 0.247
Ni 0.494 0.994 0.500

Sequential formation enthalpy at 0 K output: 0.524; 0.256; 0.057; 0.157 eV/atom